Material: Al3Au4
Method: DFT, GGA-PBE
State: optimized geometry

Lattice parameters (Å, degrees): 5.214 5.214 5.187 90.00 90.00 120.00
Atoms (fractional coordinates):
Al (0.000, 0.500, 0.000)
Al (0.500, 0.000, 0.000)
Al (0.500, 0.500, 0.000)
Au (0.000, 0.000, 0.250)
Au (0.000, 0.000, 0.750)
Au (0.333, 0.667, 0.500)
Au (0.667, 0.333, 0.500)

Output
Formation enthalpy at 0 K in meV/atom: -14
Total DFT energy (no corrections) in eV per atom: -3.4909